(w)
Density functional theory data (PBEsol) for a relaxed structure of Li3SbS4.

Values from the calculation:
D(E_F) in states/eV per cell: 0.00
Space-group type: Pmn2_1 (31)
M_tot in μB/cell: 0.00

Lattice parameters (Å, degrees): 7.912 6.817 6.366 90.00 90.00 90.00
Positions (direct):
1 Li 0.000 0.155 0.000
2 Li 0.245 0.326 0.507
3 Li 0.255 0.674 0.007
4 Li 0.500 0.845 0.500
5 Li 0.745 0.674 0.007
6 Li 0.755 0.326 0.507
7 Sb 0.000 0.827 0.510
8 Sb 0.500 0.173 0.010
9 S 0.000 0.151 0.384
10 S 0.000 0.819 0.880
11 S 0.243 0.664 0.388
12 S 0.257 0.336 0.888
13 S 0.500 0.181 0.380
14 S 0.500 0.849 0.884
15 S 0.743 0.336 0.888
16 S 0.757 0.664 0.388



(x)
Density functional theory data (PBEsol) for a relaxed structure of Li3SbS4.

Values from the calculation:
Space-group type: Pnma (62)
M_tot in μB/cell: 0.00

Lattice parameters (Å, degrees): 7.083 8.841 10.009 90.00 90.00 90.00
Positions (direct):
1 Li 0.027 0.250 0.088
2 Li 0.226 0.042 0.744
3 Li 0.226 0.458 0.744
4 Li 0.274 0.542 0.244
5 Li 0.274 0.958 0.244
6 Li 0.473 0.750 0.588
7 Li 0.527 0.250 0.412
8 Li 0.726 0.042 0.756
9 Li 0.726 0.458 0.756
10 Li 0.774 0.542 0.256
11 Li 0.774 0.958 0.256
12 Li 0.973 0.750 0.912
13 Sb 0.074 0.250 0.494
14 Sb 0.426 0.750 0.994
15 Sb 0.574 0.250 0.006
16 Sb 0.926 0.750 0.506
17 S 0.026 0.750 0.281
18 S 0.138 0.750 0.689
19 S 0.210 0.546 0.983
20 S 0.210 0.954 0.983
21 S 0.290 0.046 0.483
22 S 0.290 0.454 0.483
23 S 0.362 0.250 0.189
24 S 0.474 0.250 0.781
25 S 0.526 0.750 0.219
26 S 0.638 0.750 0.811
27 S 0.710 0.546 0.517
28 S 0.710 0.954 0.517
29 S 0.790 0.046 0.017
30 S 0.790 0.454 0.017
31 S 0.862 0.250 0.311
32 S 0.974 0.250 0.719



(y)
Density functional theory data (PBEsol) for a relaxed structure of Li3SbS4.

Values from the calculation:
D(E_F) in states/eV per cell: 0.00
Space-group type: P-43m (215)
M_tot in μB/cell: 0.00

Lattice parameters (Å, degrees): 6.088 6.088 6.088 90.00 90.00 90.00
Positions (direct):
1 Li 0.000 0.000 0.500
2 Li 0.000 0.500 0.000
3 Li 0.500 0.000 0.000
4 Sb 0.000 0.000 0.000
5 S 0.221 0.221 0.221
6 S 0.221 0.779 0.779
7 S 0.779 0.221 0.779
8 S 0.779 0.779 0.221



(z)
Density functional theory data (PBEsol) for a relaxed structure of Li3SbS4.

Values from the calculation:
Space-group type: P2/c (13)
M_tot in μB/cell: 0.00

Lattice parameters (Å, degrees): 6.391 7.385 6.288 90.00 109.56 90.00
Positions (direct):
1 Li 0.000 0.113 0.250
2 Li 0.000 0.887 0.750
3 Li 0.500 0.117 0.750
4 Li 0.500 0.355 0.250
5 Li 0.500 0.645 0.750
6 Li 0.500 0.883 0.250
7 Sb 0.000 0.362 0.750
8 Sb 0.000 0.638 0.250
9 S 0.237 0.388 0.501
10 S 0.237 0.612 0.001
11 S 0.253 0.135 0.982
12 S 0.253 0.865 0.482
13 S 0.747 0.135 0.518
14 S 0.747 0.865 0.018
15 S 0.763 0.388 0.999
16 S 0.763 0.612 0.499



Energies relative to the most stable structure are (w) 0; (x) 51; (y) 91; (z) 9, reported in meV/atom.



(w)
Density functional theory data (PBEsol) for a relaxed structure of Li7Sb2S2.

Values from the calculation:
Space-group type: P-1 (2)
M_tot in μB/cell: 0.00

Lattice parameters (Å, degrees): 5.543 8.764 9.860 67.53 76.53 74.64
Positions (direct):
1 Li 0.046 0.443 0.370
2 Li 0.064 0.941 0.379
3 Li 0.122 0.253 0.169
4 Li 0.166 0.109 0.945
5 Li 0.290 0.652 0.016
6 Li 0.387 0.743 0.690
7 Li 0.418 0.080 0.628
8 Li 0.582 0.920 0.372
9 Li 0.613 0.257 0.310
10 Li 0.710 0.348 0.984
11 Li 0.834 0.891 0.055
12 Li 0.878 0.747 0.831
13 Li 0.936 0.059 0.621
14 Li 0.954 0.557 0.630
15 Sb 0.245 0.433 0.867
16 Sb 0.389 0.631 0.377
17 Sb 0.611 0.369 0.623
18 Sb 0.755 0.567 0.133
19 S 0.143 0.923 0.835
20 S 0.232 0.153 0.407
21 S 0.768 0.847 0.593
22 S 0.857 0.077 0.165



(x)
Density functional theory data (PBEsol) for a relaxed structure of Li7Sb2S2.

Values from the calculation:
D(E_F) in states/eV per cell: 7.40
Space-group type: Pnma (62)
M_tot in μB/cell: 0.00

Lattice parameters (Å, degrees): 12.939 8.628 7.420 90.00 90.00 90.00
Positions (direct):
1 Li 0.045 0.008 0.171
2 Li 0.045 0.492 0.171
3 Li 0.086 0.750 0.757
4 Li 0.113 0.250 0.816
5 Li 0.183 0.750 0.054
6 Li 0.206 0.526 0.583
7 Li 0.206 0.974 0.583
8 Li 0.294 0.026 0.083
9 Li 0.294 0.474 0.083
10 Li 0.317 0.250 0.554
11 Li 0.387 0.750 0.316
12 Li 0.414 0.250 0.257
13 Li 0.455 0.508 0.671
14 Li 0.455 0.992 0.671
15 Li 0.545 0.008 0.329
16 Li 0.545 0.492 0.329
17 Li 0.586 0.750 0.743
18 Li 0.613 0.250 0.684
19 Li 0.683 0.750 0.446
20 Li 0.706 0.526 0.917
21 Li 0.706 0.974 0.917
22 Li 0.794 0.026 0.417
23 Li 0.794 0.474 0.417
24 Li 0.817 0.250 0.946
25 Li 0.887 0.750 0.184
26 Li 0.914 0.250 0.243
27 Li 0.955 0.508 0.829
28 Li 0.955 0.992 0.829
29 Sb 0.087 0.750 0.394
30 Sb 0.102 0.250 0.427
31 Sb 0.398 0.750 0.927
32 Sb 0.413 0.250 0.894
33 Sb 0.587 0.750 0.106
34 Sb 0.602 0.250 0.073
35 Sb 0.898 0.750 0.573
36 Sb 0.913 0.250 0.606
37 S 0.140 0.517 0.897
38 S 0.140 0.983 0.897
39 S 0.360 0.017 0.397
40 S 0.360 0.483 0.397
41 S 0.640 0.517 0.603
42 S 0.640 0.983 0.603
43 S 0.860 0.017 0.103
44 S 0.860 0.483 0.103



Energies relative to the most stable structure are (w) 0; (x) 18, reported in meV/atom.



(w)
Density functional theory data (PBEsol) for a relaxed structure of Li8SbS6.

Values from the calculation:
D(E_F) in states/eV per cell: 6.36
Space-group type: R-3 (148)
M_tot in μB/cell: 0.00

Lattice parameters (Å, degrees): 7.360 7.360 7.360 54.82 54.82 54.82
Positions (direct):
1 Li 0.024 0.394 0.718
2 Li 0.160 0.160 0.160
3 Li 0.282 0.976 0.606
4 Li 0.394 0.718 0.024
5 Li 0.606 0.282 0.976
6 Li 0.718 0.024 0.394
7 Li 0.840 0.840 0.840
8 Li 0.976 0.606 0.282
9 Sb 0.500 0.500 0.500
10 S 0.107 0.745 0.408
11 S 0.255 0.592 0.893
12 S 0.408 0.107 0.745
13 S 0.592 0.893 0.255
14 S 0.745 0.408 0.107
15 S 0.893 0.255 0.592



(x)
Density functional theory data (PBEsol) for a relaxed structure of Li8SbS6.

Values from the calculation:
D(E_F) in states/eV per cell: 10.47
Space-group type: P6_3cm (185)
M_tot in μB/cell: 0.02

Lattice parameters (Å, degrees): 6.954 6.954 13.295 90.00 90.00 120.00
Positions (direct):
1 Li 0.000 0.326 0.000
2 Li 0.000 0.380 0.633
3 Li 0.000 0.620 0.133
4 Li 0.000 0.674 0.500
5 Li 0.326 0.000 0.000
6 Li 0.326 0.326 0.500
7 Li 0.333 0.667 0.369
8 Li 0.333 0.667 0.869
9 Li 0.380 0.000 0.633
10 Li 0.380 0.380 0.133
11 Li 0.620 0.000 0.133
12 Li 0.620 0.620 0.633
13 Li 0.667 0.333 0.369
14 Li 0.667 0.333 0.869
15 Li 0.674 0.000 0.500
16 Li 0.674 0.674 0.000
17 Sb 0.000 0.000 0.274
18 Sb 0.000 0.000 0.774
19 S 0.000 0.000 0.083
20 S 0.000 0.000 0.583
21 S 0.000 0.345 0.815
22 S 0.000 0.655 0.315
23 S 0.333 0.667 0.052
24 S 0.333 0.667 0.552
25 S 0.345 0.000 0.815
26 S 0.345 0.345 0.315
27 S 0.655 0.000 0.315
28 S 0.655 0.655 0.815
29 S 0.667 0.333 0.052
30 S 0.667 0.333 0.552



Energies relative to the most stable structure are (w) 0; (x) 25, reported in meV/atom.



(w)
Density functional theory data (PBEsol) for a relaxed structure of LiSeS2.

Values from the calculation:
D(E_F) in states/eV per cell: 2.00
Space-group type: R-3m (166)
M_tot in μB/cell: 0.00

Lattice parameters (Å, degrees): 7.411 7.411 7.411 30.74 30.74 30.74
Positions (direct):
1 Li 0.000 0.000 0.000
2 Se 0.500 0.500 0.500
3 S 0.108 0.108 0.108
4 S 0.892 0.892 0.892



(x)
Density functional theory data (PBEsol) for a relaxed structure of LiSeS2.

Values from the calculation:
D(E_F) in states/eV per cell: 3.24
Space-group type: I-42d (122)
M_tot in μB/cell: 0.00

Lattice parameters (Å, degrees): 7.534 7.534 7.534 139.77 139.77 58.20
Positions (direct):
1 Li 0.000 0.000 0.000
2 Li 0.750 0.250 0.500
3 Se 0.250 0.750 0.500
4 Se 0.500 0.500 0.000
5 S 0.137 0.625 0.012
6 S 0.375 0.387 0.512
7 S 0.613 0.125 0.988
8 S 0.875 0.863 0.488



(y)
Density functional theory data (PBEsol) for a relaxed structure of LiSeS2.

Values from the calculation:
D(E_F) in states/eV per cell: 2.19
Space-group type: R-3m (166)
M_tot in μB/cell: 0.00

Lattice parameters (Å, degrees): 8.283 8.283 8.283 21.89 21.89 21.89
Positions (direct):
1 Li 0.000 0.000 0.000
2 Se 0.500 0.500 0.500
3 S 0.403 0.403 0.403
4 S 0.597 0.597 0.597



Energies relative to the most stable structure are (w) 148; (x) 0; (y) 85, reported in meV/atom.



(w)
Density functional theory data (PBEsol) for a relaxed structure of LiSb.

Values from the calculation:
D(E_F) in states/eV per cell: 2.18
Space-group type: P-3m1 (164)
M_tot in μB/cell: 0.00

Lattice parameters (Å, degrees): 3.211 3.211 10.275 90.00 90.00 120.00
Positions (direct):
1 Li 0.333 0.667 0.124
2 Li 0.667 0.333 0.876
3 Sb 0.333 0.667 0.657
4 Sb 0.667 0.333 0.343



(x)
Density functional theory data (PBEsol) for a relaxed structure of LiSb.

Values from the calculation:
D(E_F) in states/eV per cell: 3.41
Space-group type: Cm (8)
M_tot in μB/cell: 0.00

Lattice parameters (Å, degrees): 6.003 6.003 8.420 113.43 113.43 29.70
Positions (direct):
1 Li 0.000 0.000 0.000
2 Li 0.284 0.284 0.031
3 Li 0.573 0.573 0.657
4 Sb 0.315 0.315 0.719
5 Sb 0.699 0.699 0.262
6 Sb 0.962 0.962 0.329



(y)
Density functional theory data (PBEsol) for a relaxed structure of LiSb.

Values from the calculation:
D(E_F) in states/eV per cell: 0.73
Space-group type: P4/mmm (123)
M_tot in μB/cell: 0.00

Lattice parameters (Å, degrees): 3.160 3.160 4.190 90.00 90.00 90.00
Positions (direct):
1 Li 0.000 0.000 0.000
2 Sb 0.500 0.500 0.500



Energies relative to the most stable structure are (w) 360; (x) 172; (y) 0, reported in meV/atom.



(w)
Density functional theory data (PBEsol) for a relaxed structure of LiSb.

Values from the calculation:
D(E_F) in states/eV per cell: 0.69
Space-group type: Pm-3m (221)
M_tot in μB/cell: 0.00

Lattice parameters (Å, degrees): 3.451 3.451 3.451 90.00 90.00 90.00
Positions (direct):
1 Li 0.000 0.000 0.000
2 Sb 0.500 0.500 0.500



(x)
Density functional theory data (PBEsol) for a relaxed structure of LiSb.

Values from the calculation:
D(E_F) in states/eV per cell: 0.51
Space-group type: P-6m2 (187)
M_tot in μB/cell: 0.00

Lattice parameters (Å, degrees): 3.303 3.303 4.490 90.00 90.00 120.00
Positions (direct):
1 Li 0.000 0.000 0.000
2 Sb 0.333 0.667 0.500



Energies relative to the most stable structure are (w) 0; (x) 9, reported in meV/atom.